Here is a relaxed CaLa2FeAg crystal from Alexandria via LeMat-Bulk. Energies are from PBE-GGA.

Calculated values
- E_tot: -4.60 eV/atom
- Calculated volume: 29.27 Å³/atom

Cell: 5.0726 5.0726 5.6877 Å, 90.00 90.00 90.00°
Closest atoms and distances in Å follow each position.
Fractional positions:
Ag1 0.5000 0.5000 0.5000  4 Ca 3.59, 8 La 3.81
Fe1 0.0000 0.0000 0.0000  4 La 2.54
La1 0.0000 0.5000 0.0000  2 Fe 2.54
La2 0.5000 0.0000 0.0000  2 Fe 2.54
Ca1 0.0000 0.0000 0.5000  2 Fe 2.84